1.
{
  "formula": "SrReBr",
  "functional": "GGA-PBE",
  "state": "relaxed",
  "polymorph_energy_mev_per_atom": 30.6,
  "formation_energy_uncorrected_mev_per_atom": 812,
  "crystal_system": "hexagonal",
  "sg": "P-6m2 (187)",
  "lattice_angstrom": [[4.548, 0.000, 0.000], [-2.274, 3.938, 0.000], [0.000, 0.000, 3.889]],
  "species": ["Re", "Sr", "Br"],
  "frac_coords": [[0.667, 0.333, 0.167], [0.333, 0.667, 0.667], [0.000, 0.000, 0.167]]
}

2.
{
  "formula": "Ac4Tl2Pb",
  "functional": "GGA-PBE",
  "state": "relaxed",
  "formation_enthalpy_0k_ev_per_atom": -0.26,
  "crystal_system": "trigonal",
  "sg": "R-3m (166)",
  "lattice_angstrom": [[5.531, 0.000, 1.728], [2.495, 4.936, 1.728], [-0.088, -0.054, 9.998]],
  "species": ["Pb", "Tl", "Tl", "Ac", "Ac", "Ac", "Ac"],
  "frac_coords": [[0.000, 0.000, 0.000], [0.246, 0.246, 0.262], [0.754, 0.754, 0.738], [0.378, 0.378, 0.865], [0.126, 0.126, 0.622], [0.622, 0.622, 0.135], [0.874, 0.874, 0.378]]
}

3.
{
  "formula": "BeP2W",
  "functional": "GGA-PBE",
  "state": "relaxed",
  "formation_enthalpy_0k_ev_per_atom": 0.01,
  "crystal_system": "orthorhombic",
  "sg": "Immm (71)",
  "lattice_angstrom": [[4.468, 0.016, 0.005], [1.144, 4.319, -0.005], [-2.312, -2.807, 2.596]],
  "species": ["W", "P", "P", "Be"],
  "frac_coords": [[0.750, 0.250, 0.500], [0.039, 0.039, 0.000], [0.461, 0.461, 0.000], [0.250, 0.750, 0.500]]
}

4.
{
  "formula": "CaAlCr",
  "functional": "GGA-PBE",
  "state": "relaxed",
  "formation_enthalpy_0k_ev_per_atom": 0.27,
  "crystal_system": "hexagonal",
  "sg": "P-6m2 (187)",
  "lattice_angstrom": [[-2.131, -4.298, 0.022], [1.805, 1.803, 4.063], [-3.031, 1.506, 0.678]],
  "species": ["Ca", "Cr", "Al"],
  "frac_coords": [[0.667, 0.333, 0.333], [0.333, 0.667, 0.833], [0.000, 0.000, 0.833]]
}

> Which formula does entry 4 have?

CaAlCr